1.
The following is a DFT calculation (PBE) of a relaxed KPmSeO crystal.

E_tot = -5.66 eV/atom
Crystal system = trigonal

Structure (CIF):
```
data_KPmSeO
_chemical_formula_sum 'K3 Pm3 Se3 O3'
_cell_length_a 3.9124
_cell_length_b 3.9124
_cell_length_c 21.5060
_cell_angle_alpha 90.00
_cell_angle_beta 90.00
_cell_angle_gamma 120.00
_space_group_name_H-M_alt 'R 3 m'
_space_group_IT_number 160
_space_group_name_Hall 'R 3 -2"'
loop_
_atom_site_label
_atom_site_type_symbol
_atom_site_fract_x
_atom_site_fract_y
_atom_site_fract_z
K1 K 0.0000 0.0000 0.0000
Pm1 Pm 0.0000 0.0000 0.4790
Se1 Se 0.0000 0.0000 0.2322
O1 O 0.0000 0.0000 0.7679
```

---

2.
The following is a DFT calculation (PBE) of a relaxed TiTl3Bi2Se6 crystal.

E_tot = -4.20 eV/atom
Crystal system = monoclinic

Structure (CIF):
```
data_TiTl3Bi2Se6
_chemical_formula_sum 'Ti2 Tl6 Bi4 Se12'
_cell_length_a 7.259
_cell_length_b 12.528
_cell_length_c 7.976
_cell_angle_alpha 90.00
_cell_angle_beta 107.52
_cell_angle_gamma 90.00
_space_group_name_H-M_alt 'C 1 2/m 1'
_space_group_IT_number 12
loop_
_space_group_symop_operation_xyz
'x,y,z'
'-x,-y,-z'
'-x,y,-z'
'x,-y,z'
'x+1/2,y+1/2,z'
'-x+1/2,-y+1/2,-z'
'-x+1/2,y+1/2,-z'
'x+1/2,-y+1/2,z'
loop_
_atom_site_label
_atom_site_type_symbol
_atom_site_fract_x
_atom_site_fract_y
_atom_site_fract_z
Ti1 Ti 0.000 0.000 0.000
Tl1 Tl 0.000 0.172 0.500
Tl2 Tl 0.000 0.500 0.500
Bi1 Bi 0.000 0.334 0.000
Se1 Se 0.218 0.151 0.200
Se2 Se 0.234 0.000 0.795
```

---

3.
The following is a DFT calculation (PBE) of a relaxed K3Tl crystal.

E_tot = -1.37 eV/atom
Crystal system = hexagonal

Structure (CIF):
```
data_K3Tl
_chemical_formula_sum 'K3 Tl1'
_cell_length_a 4.3808
_cell_length_b 4.3808
_cell_length_c 13.3454
_cell_angle_alpha 90.00
_cell_angle_beta 90.00
_cell_angle_gamma 120.00
_space_group_name_H-M_alt 'P -6 m 2'
_space_group_IT_number 187
_space_group_name_Hall 'P -6 2'
loop_
_atom_site_label
_atom_site_type_symbol
_atom_site_fract_x
_atom_site_fract_y
_atom_site_fract_z
K1 K 0.0000 0.0000 0.0000
K2 K 0.3333 0.6667 0.2963
Tl1 Tl 0.0000 0.0000 0.5000
```